1.
! Ac12Zn5Se3 PBE optimized geometry; values from VASP
&SYSTEM
  ibrav = 0, nat = 80, ntyp = 3
/
ATOMIC_SPECIES
Ac 227.00 Ac.upf
Zn 65.41 Zn.upf
Se 78.96 Se.upf
CELL_PARAMETERS angstrom
15.9703 0.0000 0.0000
-5.3234 15.0570 0.0000
-5.3234 -7.5285 13.0397
ATOMIC_POSITIONS crystal
Ac 0.1704 0.0887 0.7192
Ac 0.1704 0.0817 0.9512
Ac 0.2192 0.6704 0.0887
Ac 0.5817 0.6305 0.4113
Ac 0.1305 0.4113 0.0817
Ac 0.3695 0.9512 0.7808
Ac 0.5488 0.3296 0.9183
Ac 0.0817 0.9113 0.1305
Ac 0.3296 0.7808 0.4113
Ac 0.7192 0.5887 0.1704
Ac 0.4183 0.3695 0.5887
Ac 0.9183 0.8296 0.5488
Ac 0.5488 0.2192 0.1305
Ac 0.0887 0.1704 0.2192
Ac 0.9512 0.5817 0.1704
Ac 0.5887 0.7192 0.6704
Ac 0.9113 0.0817 0.6305
Ac 0.5887 0.8695 0.4183
Ac 0.6704 0.4512 0.5817
Ac 0.4512 0.6704 0.0817
Ac 0.3296 0.5488 0.4183
Ac 0.6305 0.5817 0.9113
Ac 0.1305 0.7192 0.5488
Ac 0.7808 0.3296 0.9113
Ac 0.0817 0.1704 0.4512
Ac 0.4113 0.2808 0.3296
Ac 0.7808 0.4512 0.3695
Ac 0.0488 0.4183 0.8296
Ac 0.0488 0.6305 0.7192
Ac 0.9183 0.0887 0.8695
Ac 0.4183 0.0488 0.3296
Ac 0.8296 0.9183 0.0488
Ac 0.9512 0.3695 0.2808
Ac 0.6704 0.2192 0.5887
Ac 0.9113 0.8296 0.7808
Ac 0.4113 0.1305 0.5817
Ac 0.0887 0.9183 0.3695
Ac 0.8695 0.5887 0.9183
Ac 0.6305 0.0488 0.2192
Ac 0.8695 0.2808 0.4512
Ac 0.8296 0.9113 0.2808
Ac 0.3695 0.4183 0.0887
Ac 0.4512 0.7808 0.8695
Ac 0.7192 0.1305 0.0488
Ac 0.2808 0.8695 0.9512
Ac 0.2192 0.5488 0.6305
Ac 0.5817 0.9512 0.6704
Ac 0.2808 0.4113 0.8296
Zn 0.5000 0.0000 0.0000
Zn 0.3750 0.2500 0.1250
Zn 0.3750 0.1250 0.7500
Zn 0.1250 0.3750 0.2500
Zn 0.5000 0.5000 0.5000
Zn 0.5000 0.0000 0.5000
Zn 0.5000 0.5000 0.0000
Zn 0.7500 0.1250 0.8750
Zn 0.1250 0.7500 0.3750
Zn 0.2500 0.3750 0.6250
Zn 0.0000 0.0000 0.5000
Zn 0.0000 0.5000 0.5000
Zn 0.6250 0.8750 0.2500
Zn 0.6250 0.7500 0.8750
Zn 0.0000 0.0000 0.0000
Zn 0.8750 0.6250 0.7500
Zn 0.8750 0.2500 0.6250
Zn 0.7500 0.6250 0.3750
Zn 0.2500 0.8750 0.1250
Zn 0.0000 0.5000 0.0000
Se 0.2500 0.6250 0.8750
Se 0.6250 0.2500 0.3750
Se 0.1250 0.2500 0.8750
Se 0.1250 0.8750 0.7500
Se 0.8750 0.7500 0.1250
Se 0.7500 0.8750 0.6250
Se 0.8750 0.1250 0.2500
Se 0.3750 0.6250 0.2500
Se 0.3750 0.7500 0.6250
Se 0.7500 0.3750 0.1250
Se 0.2500 0.1250 0.3750
Se 0.6250 0.3750 0.7500
! Energy, eV/atom: -3.50
! Total moment, μB per formula unit: 0.00

---

2.
! Ac3ZnSe2 PBE optimized geometry; values from VASP
&SYSTEM
  ibrav = 0, nat = 24, ntyp = 3
/
ATOMIC_SPECIES
Se 78.96 Se.upf
Ac 227.00 Ac.upf
Zn 65.41 Zn.upf
CELL_PARAMETERS angstrom
-0.5036 -5.9447 2.2514
4.8311 2.3521 7.3235
-11.4001 3.4003 6.4283
ATOMIC_POSITIONS crystal
Se 0.7500 0.1195 0.5831
Se 0.7500 0.6195 0.9169
Se 0.2513 0.8725 0.7487
Se 0.2500 0.8805 0.4169
Se 0.7487 0.1275 0.2513
Se 0.7487 0.6275 0.2487
Se 0.2500 0.3805 0.0831
Se 0.2513 0.3725 0.7513
Ac 0.7512 0.3715 0.7494
Ac 0.7500 0.3766 0.0863
Ac 0.2500 0.6234 0.9137
Ac 0.7486 0.3770 0.4193
Ac 0.7512 0.8715 0.7506
Ac 0.2514 0.1230 0.9193
Ac 0.2488 0.6285 0.2506
Ac 0.2514 0.6230 0.5807
Ac 0.7486 0.8770 0.0807
Ac 0.2488 0.1285 0.2494
Ac 0.7500 0.8766 0.4137
Ac 0.2500 0.1234 0.5863
Zn 0.7518 0.1281 0.9130
Zn 0.7518 0.6281 0.5870
Zn 0.2482 0.8719 0.0870
Zn 0.2482 0.3719 0.4130
! Energy, eV/atom: -4.73
! Total moment, μB per formula unit: 0.00

---

3.
! Ac2ZnSe PBE optimized geometry; values from VASP
&SYSTEM
  ibrav = 0, nat = 4, ntyp = 3
/
ATOMIC_SPECIES
Ac 227.00 Ac.upf
Se 78.96 Se.upf
Zn 65.41 Zn.upf
CELL_PARAMETERS angstrom
-2.6772 3.1105 1.3919
-4.2670 -0.3548 -0.6682
-3.1198 -3.0079 7.4673
ATOMIC_POSITIONS crystal
Ac 0.2512 0.2512 0.2464
Ac 0.0824 0.0824 0.7527
Se 0.4993 0.4993 0.5021
Zn 0.6670 0.6670 0.9989
! Energy, eV/atom: -4.13
! Total moment, μB per formula unit: 0.00

---

4.
! Ac2ZnSe PBE optimized geometry; values from VASP
&SYSTEM
  ibrav = 0, nat = 4, ntyp = 3
/
ATOMIC_SPECIES
Ac 227.00 Ac.upf
Zn 65.41 Zn.upf
Se 78.96 Se.upf
CELL_PARAMETERS angstrom
-3.0679 -1.5645 -1.4855
-0.4588 -3.3376 4.4627
-3.1835 3.8322 2.5387
ATOMIC_POSITIONS crystal
Ac 0.0000 0.5000 0.0000
Ac 0.0000 0.0000 0.5000
Zn 0.5000 0.5000 0.5000
Se 0.5000 0.0000 0.0000
! Energy, eV/atom: -4.09
! Total moment, μB per formula unit: 0.00

---

5.
! AcZnSe2 PBE optimized geometry; values from VASP
&SYSTEM
  ibrav = 0, nat = 4, ntyp = 3
/
ATOMIC_SPECIES
Se 78.96 Se.upf
Ac 227.00 Ac.upf
Zn 65.41 Zn.upf
CELL_PARAMETERS angstrom
4.5896 0.0000 0.0000
2.2948 3.9747 0.0000
2.2948 1.3249 8.2905
ATOMIC_POSITIONS crystal
Se 0.9004 0.9004 0.2987
Se 0.0996 0.0996 0.7013
Ac 0.5000 0.5000 0.5000
Zn 0.0000 0.0000 0.0000
! Energy, eV/atom: -4.13
! Total moment, μB per formula unit: 0.00

---

6.
! Ac2ZnSe4 PBE optimized geometry; values from VASP
&SYSTEM
  ibrav = 0, nat = 14, ntyp = 3
/
ATOMIC_SPECIES
Zn 65.41 Zn.upf
Ac 227.00 Ac.upf
Se 78.96 Se.upf
CELL_PARAMETERS angstrom
7.0164 0.0000 -0.0401
0.0000 7.0157 0.0000
-2.6277 0.0000 8.2159
ATOMIC_POSITIONS crystal
Zn 0.7357 0.2500 0.8060
Zn 0.2643 0.7500 0.1940
Ac 0.7502 0.7500 0.5633
Ac 0.2498 0.2500 0.4367
Ac 0.2713 0.2500 0.9426
Ac 0.7287 0.7500 0.0574
Se 0.4901 0.5104 0.7420
Se 0.9295 0.2500 0.6128
Se 0.0705 0.7500 0.3872
Se 0.4901 0.9896 0.7420
Se 0.9259 0.2500 0.0987
Se 0.5099 0.0104 0.2580
Se 0.0741 0.7500 0.9013
Se 0.5099 0.4896 0.2580
! Energy, eV/atom: -4.94
! Total moment, μB per formula unit: 0.00